1:
RbNa2F2 after structural relaxation. Source: Alexandria via LeMat-Bulk, functional PBE-GGA.

Cell lengths 7.4421, 7.4421, 3.8083 Å; angles 90.00, 90.00, 90.00 degrees
Fractional positions:
Rb: 0.0000 0.0000 0.0000
Rb: 0.5000 0.5000 0.0000
Na: 0.1291 0.3709 0.5000
Na: 0.3709 0.8709 0.5000
Na: 0.6291 0.1291 0.5000
Na: 0.8709 0.6291 0.5000
F: 0.1429 0.6429 0.0000
F: 0.3571 0.1429 0.0000
F: 0.6429 0.8571 0.0000
F: 0.8571 0.3571 0.0000



2:
RbNa2F2 after structural relaxation. Source: Alexandria via LeMat-Bulk, functional PBE-GGA.

Cell lengths 7.3364, 7.3364, 7.3364 Å; angles 144.68, 144.68, 50.81 degrees
Fractional positions:
Rb: 0.0000 0.0000 0.0000
Na: 0.2862 0.2862 0.0000
Na: 0.7138 0.7138 0.0000
F: 0.2500 0.7500 0.5000
F: 0.7500 0.2500 0.5000



Here are the energies relative to the best structure, in meV/atom: 1 307; 2 0.



1:
Na2ReF after structural relaxation. Source: Alexandria via LeMat-Bulk, functional PBE-GGA.

Cell lengths 5.0418, 5.0418, 5.0418 Å; angles 60.00, 60.00, 60.00 degrees
Fractional positions:
Na: 0.2500 0.2500 0.2500
Na: 0.7500 0.7500 0.7500
Re: 0.0000 0.0000 0.0000
F: 0.5000 0.5000 0.5000



2:
Na2ReF after structural relaxation. Source: Alexandria via LeMat-Bulk, functional PBE-GGA.

Cell lengths 6.1853, 6.1853, 6.1853 Å; angles 112.87, 112.87, 102.86 degrees
Fractional positions:
Na: 0.0064 0.6250 0.8814
Na: 0.3750 0.2564 0.3814
Na: 0.7436 0.1250 0.1186
Na: 0.8750 0.9936 0.6186
Re: 0.2500 0.7500 0.5000
Re: 0.5000 0.5000 0.0000
F: 0.0000 0.0000 0.0000
F: 0.7500 0.2500 0.5000



Here are the energies relative to the best structure, in meV/atom: 1 442; 2 0.



1:
NaReF2 after structural relaxation. Source: Alexandria via LeMat-Bulk, functional PBE-GGA.

Cell lengths 7.1851, 7.1851, 7.1851 Å; angles 22.58, 22.58, 22.58 degrees
Fractional positions:
Na: 0.0000 0.0000 0.0000
Re: 0.5000 0.5000 0.5000
F: 0.4022 0.4022 0.4022
F: 0.5978 0.5978 0.5978



2:
NaReF2 after structural relaxation. Source: Alexandria via LeMat-Bulk, functional PBE-GGA.

Cell lengths 8.2865, 8.2865, 8.2865 Å; angles 19.00, 19.00, 19.00 degrees
Fractional positions:
Na: 0.0000 0.0000 0.0000
Re: 0.5000 0.5000 0.5000
F: 0.0844 0.0844 0.0844
F: 0.9156 0.9156 0.9156



3:
NaReF2 after structural relaxation. Source: Alexandria via LeMat-Bulk, functional PBE-GGA.

Cell lengths 4.5203, 4.5203, 4.5203 Å; angles 60.00, 60.00, 60.00 degrees
Fractional positions:
Na: 0.0000 0.0000 0.0000
Re: 0.5000 0.5000 0.5000
F: 0.2500 0.2500 0.2500
F: 0.7500 0.7500 0.7500



4:
NaReF2 after structural relaxation. Source: Alexandria via LeMat-Bulk, functional PBE-GGA.

Cell lengths 5.6781, 5.6781, 5.6781 Å; angles 123.60, 123.60, 83.86 degrees
Fractional positions:
Na: 0.0000 0.0000 0.0000
Na: 0.7500 0.2500 0.5000
Re: 0.2500 0.7500 0.5000
Re: 0.5000 0.5000 0.0000
F: 0.1036 0.6250 0.9786
F: 0.3750 0.3536 0.4786
F: 0.6464 0.1250 0.0214
F: 0.8750 0.8964 0.5214



Here are the energies relative to the best structure, in meV/atom: 1 0; 2 962; 3 1381; 4 1127.



1:
Na3ReF after structural relaxation. Source: Alexandria via LeMat-Bulk, functional PBE-GGA.

Cell lengths 4.6970, 4.6970, 4.6970 Å; angles 90.00, 90.00, 90.00 degrees
Fractional positions:
Na: 0.0000 0.0000 0.5000
Na: 0.0000 0.5000 0.0000
Na: 0.5000 0.0000 0.0000
Re: 0.5000 0.5000 0.5000
F: 0.0000 0.0000 0.0000



2:
Na3ReF after structural relaxation. Source: Alexandria via LeMat-Bulk, functional PBE-GGA.

Cell lengths 5.8627, 5.8627, 5.8627 Å; angles 90.00, 90.00, 90.00 degrees
Fractional positions:
Na: 0.0000 0.0000 0.5000
Na: 0.0000 0.5000 0.0000
Na: 0.5000 0.0000 0.0000
Re: 0.0000 0.0000 0.0000
F: 0.5000 0.5000 0.5000



Here are the energies relative to the best structure, in meV/atom: 1 0; 2 792.



1:
Na3RhF8 after structural relaxation. Source: Alexandria via LeMat-Bulk, functional PBE-GGA.

Cell lengths 6.4521, 6.4521, 6.4521 Å; angles 131.11, 131.11, 71.65 degrees
Fractional positions:
Na: 0.0000 0.0000 0.0000
Na: 0.2500 0.7500 0.5000
Na: 0.7500 0.2500 0.5000
Rh: 0.5000 0.5000 0.0000
F: 0.1671 0.1671 0.5593
F: 0.1671 0.6077 0.0000
F: 0.3923 0.3923 0.5593
F: 0.3923 0.8329 0.0000
F: 0.6077 0.1671 0.0000
F: 0.6077 0.6077 0.4407
F: 0.8329 0.3923 0.0000
F: 0.8329 0.8329 0.4407



2:
Na3RhF8 after structural relaxation. Source: Alexandria via LeMat-Bulk, functional PBE-GGA.

Cell lengths 5.3003, 5.3003, 5.3003 Å; angles 90.00, 90.00, 90.00 degrees
Fractional positions:
Na: 0.0000 0.0000 0.5000
Na: 0.0000 0.5000 0.0000
Na: 0.5000 0.0000 0.0000
Rh: 0.5000 0.5000 0.5000
F: 0.2777 0.2777 0.2777
F: 0.2777 0.2777 0.7223
F: 0.2777 0.7223 0.2777
F: 0.2777 0.7223 0.7223
F: 0.7223 0.2777 0.2777
F: 0.7223 0.2777 0.7223
F: 0.7223 0.7223 0.2777
F: 0.7223 0.7223 0.7223



Here are the energies relative to the best structure, in meV/atom: 1 0; 2 10.



1:
NaRuF2 after structural relaxation. Source: Alexandria via LeMat-Bulk, functional PBE-GGA.

Cell lengths 5.4517, 5.4517, 5.4517 Å; angles 113.20, 113.20, 102.24 degrees
Fractional positions:
Na: 0.0000 0.0000 0.0000
Na: 0.7500 0.2500 0.5000
Ru: 0.2500 0.7500 0.5000
Ru: 0.5000 0.5000 0.0000
F: 0.1164 0.6250 0.9914
F: 0.3750 0.3664 0.4914
F: 0.6336 0.1250 0.0086
F: 0.8750 0.8836 0.5086



2:
NaRuF2 after structural relaxation. Source: Alexandria via LeMat-Bulk, functional PBE-GGA.

Cell lengths 4.2042, 4.2042, 4.2042 Å; angles 60.00, 60.00, 60.00 degrees
Fractional positions:
Na: 0.0000 0.0000 0.0000
Ru: 0.5000 0.5000 0.5000
F: 0.2500 0.2500 0.2500
F: 0.7500 0.7500 0.7500



3:
NaRuF2 after structural relaxation. Source: Alexandria via LeMat-Bulk, functional PBE-GGA.

Cell lengths 7.0910, 7.0910, 7.0910 Å; angles 23.44, 23.44, 23.44 degrees
Fractional positions:
Na: 0.0000 0.0000 0.0000
Ru: 0.5000 0.5000 0.5000
F: 0.4020 0.4020 0.4020
F: 0.5980 0.5980 0.5980



Here are the energies relative to the best structure, in meV/atom: 1 571; 2 685; 3 0.



1:
Na3SF after structural relaxation. Source: Alexandria via LeMat-Bulk, functional PBE-GGA.

Cell lengths 4.4489, 4.4489, 4.4489 Å; angles 90.00, 90.00, 90.00 degrees
Fractional positions:
Na: 0.0000 0.0000 0.5000
Na: 0.0000 0.5000 0.0000
Na: 0.5000 0.0000 0.0000
S: 0.5000 0.5000 0.5000
F: 0.0000 0.0000 0.0000



2:
Na3SF after structural relaxation. Source: Alexandria via LeMat-Bulk, functional PBE-GGA.

Cell lengths 7.6173, 7.6173, 7.1468 Å; angles 96.38, 96.38, 30.72 degrees
Fractional positions:
Na: 0.0632 0.0632 0.3382
Na: 0.1599 0.1599 0.9570
Na: 0.3105 0.3105 0.3755
Na: 0.6895 0.6895 0.6245
Na: 0.8401 0.8401 0.0430
Na: 0.9368 0.9368 0.6618
S: 0.3259 0.3259 0.7772
S: 0.6741 0.6741 0.2228
F: 0.0894 0.0894 0.6600
F: 0.9106 0.9106 0.3400



Here are the energies relative to the best structure, in meV/atom: 1 0; 2 22.



1:
NaSF3 after structural relaxation. Source: Alexandria via LeMat-Bulk, functional PBE-GGA.

Cell lengths 4.2768, 4.2768, 4.2768 Å; angles 90.00, 90.00, 90.00 degrees
Fractional positions:
Na: 0.0000 0.0000 0.0000
S: 0.5000 0.5000 0.5000
F: 0.0000 0.5000 0.5000
F: 0.5000 0.0000 0.5000
F: 0.5000 0.5000 0.0000



2:
NaSF3 after structural relaxation. Source: Alexandria via LeMat-Bulk, functional PBE-GGA.

Cell lengths 4.1786, 4.1786, 4.1786 Å; angles 90.00, 90.00, 90.00 degrees
Fractional positions:
Na: 0.0000 0.0000 0.0000
S: 0.5000 0.5000 0.5000
F: 0.0000 0.0000 0.5000
F: 0.0000 0.5000 0.0000
F: 0.5000 0.0000 0.0000



Here are the energies relative to the best structure, in meV/atom: 1 0; 2 599.